DFT (meta-GGA SCAN) results for a PBEsol-optimized structure of TeRu2. Values from VASP.

Structure (Quantum ESPRESSO input):
```
&SYSTEM
  ibrav = 0, nat = 6, ntyp = 2
/
ATOMIC_SPECIES
Te 127.60 Te.upf
Ru 101.07 Ru.upf
ATOMIC_POSITIONS crystal
Te 0.3333 0.6667 0.7500
Ru 0.0000 0.0000 0.0000
Te 0.6667 0.3333 0.2500
Ru 0.0000 0.0000 0.5000
Ru 0.6667 0.3333 0.7500
Ru 0.3333 0.6667 0.2500
CELL_PARAMETERS angstrom
4.4033 0.0000 0.0000
-2.2017 3.8134 0.0000
0.0000 0.0000 5.5780
```

Summary:
As for the uncorrected energy: -211.941 eV for the cell shown. As for the energy above the most stable polymorph in this dataset: 0.000 eV/atom. The uncorrected formation energy is 311 meV/atom.